#i
The following is a DFT calculation (PBE-GGA) of an optimized crystal structure of Ta2SBr.

Output
* V: 16.03 Å³/atom

Lattice parameters (Å, degrees): 6.354 6.354 6.354 90.00 90.00 90.00
Space group Fm-3m (No. 225)
Unique sites:
Ta: 0.250 0.250 0.250 x8
S: 0.000 0.000 0.000 x4
Br: 0.000 0.000 0.500 x4

#ii
The following is a DFT calculation (PBE-GGA) of an optimized crystal structure of Ta2SBr.

Output
* V: 19.86 Å³/atom

Lattice parameters (Å, degrees): 4.446 4.446 16.075 90.00 90.00 90.00
Space group I-42d (No. 122)
Unique sites:
Ta: 0.212 0.250 0.125 x8
S: 0.000 0.000 0.000 x4
Br: 0.000 0.000 0.500 x4

Most stable: #ii

#i
The following is a DFT calculation (PBE-GGA) of an optimized crystal structure of Ta2S4Br.

Output
* V: 19.93 Å³/atom

Lattice parameters (Å, degrees): 6.963 12.759 6.283 90.00 90.00 90.00
Space group Ima2 (No. 46)
Unique sites:
Ta: 0.000 0.000 0.000 x4
Ta: 0.250 0.196 0.581 x4
S: 0.006 0.196 0.861 x8
S: 0.250 0.006 0.710 x4
S: 0.250 0.114 0.220 x4
Br: 0.250 0.612 0.733 x4

#ii
The following is a DFT calculation (PBE-GGA) of an optimized crystal structure of Ta2S4Br.

Output
* V: 26.75 Å³/atom

Lattice parameters (Å, degrees): 6.974 7.215 9.050 71.72 72.32 61.81
Space group P1 (No. 1)
Unique sites:
Ta: 0.000 0.000 0.000 x1
Ta: 0.026 0.394 0.938 x1
Ta: 0.449 0.485 0.962 x1
Ta: 0.917 0.300 0.668 x1
S: 0.169 0.688 0.817 x1
S: 0.249 0.144 0.765 x1
S: 0.283 0.258 0.120 x1
S: 0.338 0.757 0.101 x1
S: 0.701 0.126 0.849 x1
S: 0.744 0.627 0.765 x1
S: 0.765 0.292 0.142 x1
S: 0.892 0.470 0.396 x1
Br: 0.064 0.026 0.489 x1
Br: 0.773 0.847 0.290 x1

Most stable: #i

#i
The following is a DFT calculation (PBE-GGA) of an optimized crystal structure of TaS3Br.

Output
* V: 22.23 Å³/atom

Lattice parameters (Å, degrees): 4.808 4.808 4.808 90.00 90.00 90.00
Space group Pm-3m (No. 221)
Unique sites:
Ta: 0.000 0.000 0.000 x1
S: 0.000 0.000 0.500 x3
Br: 0.500 0.500 0.500 x1

#ii
The following is a DFT calculation (PBE-GGA) of an optimized crystal structure of TaS3Br.

Output
* V: 21.15 Å³/atom

Lattice parameters (Å, degrees): 4.729 4.729 4.729 90.00 90.00 90.00
Space group Pm-3m (No. 221)
Unique sites:
Ta: 0.000 0.000 0.000 x1
S: 0.000 0.500 0.500 x3
Br: 0.500 0.500 0.500 x1

#iii
The following is a DFT calculation (PBE-GGA) of an optimized crystal structure of TaS3Br.

Output
* V: 22.70 Å³/atom

Lattice parameters (Å, degrees): 4.937 4.937 18.628 90.00 90.00 90.00
Space group I-4m2 (No. 119)
Unique sites:
Ta: 0.000 0.000 0.000 x2
Ta: 0.000 0.500 0.250 x2
S: 0.000 0.207 0.135 x8
S: 0.000 0.500 0.525 x4
Br: 0.000 0.000 0.298 x4

Most stable: #iii

#i
The following is a DFT calculation (PBE-GGA) of an optimized crystal structure of TcS3Br.

Output
* V: 20.07 Å³/atom

Lattice parameters (Å, degrees): 4.647 4.647 4.647 90.00 90.00 90.00
Space group Pm-3m (No. 221)
Unique sites:
Tc: 0.000 0.000 0.000 x1
S: 0.000 0.000 0.500 x3
Br: 0.500 0.500 0.500 x1

#ii
The following is a DFT calculation (PBE-GGA) of an optimized crystal structure of TcS3Br.

Output
* V: 22.65 Å³/atom

Lattice parameters (Å, degrees): 4.838 4.838 4.838 90.00 90.00 90.00
Space group Pm-3m (No. 221)
Unique sites:
Tc: 0.000 0.000 0.000 x1
S: 0.000 0.500 0.500 x3
Br: 0.500 0.500 0.500 x1

Most stable: #i

#i
The following is a DFT calculation (PBE-GGA) of an optimized crystal structure of TcSBr3.

Output
* V: 25.01 Å³/atom

Lattice parameters (Å, degrees): 5.001 5.001 5.001 90.00 90.00 90.00
Space group Pm-3m (No. 221)
Unique sites:
Tc: 0.000 0.000 0.000 x1
S: 0.500 0.500 0.500 x1
Br: 0.000 0.000 0.500 x3

#ii
The following is a DFT calculation (PBE-GGA) of an optimized crystal structure of TcSBr3.

Output
* V: 27.95 Å³/atom

Lattice parameters (Å, degrees): 5.189 5.189 5.189 90.00 90.00 90.00
Space group Pm-3m (No. 221)
Unique sites:
Tc: 0.000 0.000 0.000 x1
S: 0.500 0.500 0.500 x1
Br: 0.000 0.500 0.500 x3

Most stable: #i

#i
The following is a DFT calculation (PBE-GGA) of an optimized crystal structure of TeSBr.

Output
* V: 35.72 Å³/atom

Lattice parameters (Å, degrees): 5.636 5.912 6.967 76.55 72.10 89.40
Space group P1 (No. 1)
Unique sites:
Te: 0.000 0.000 0.000 x1
Te: 0.128 0.653 0.569 x1
S: 0.320 0.951 0.160 x1
S: 0.935 0.404 0.943 x1
Br: 0.211 0.310 0.392 x1
Br: 0.627 0.708 0.567 x1

#ii
The following is a DFT calculation (PBE-GGA) of an optimized crystal structure of TeSBr.

Output
* V: 38.94 Å³/atom

Lattice parameters (Å, degrees): 5.682 6.066 7.257 110.78 91.31 91.73
Space group P1 (No. 1)
Unique sites:
Te: 0.000 0.000 0.000 x1
Te: 0.269 0.568 0.970 x1
S: 0.128 0.478 0.231 x1
S: 0.927 0.573 0.768 x1
Br: 0.354 0.070 0.736 x1
Br: 0.723 0.987 0.278 x1

Most stable: #ii

#i
The following is a DFT calculation (PBE-GGA) of an optimized crystal structure of Te3SBr.

Output
* V: 36.30 Å³/atom

Lattice parameters (Å, degrees): 6.2817 6.2817 31.8691 90.00 90.00 120.00
Space group R3c (No. 161, hexagonal axes)
Unique sites:
Te: 0.0719 0.3914 0.0000 x18
S: 0.0000 0.0000 0.4590 x6
Br: 0.0000 0.0000 0.0815 x6

#ii
The following is a DFT calculation (PBE-GGA) of an optimized crystal structure of Te3SBr.

Output
* V: 35.24 Å³/atom

Lattice parameters (Å, degrees): 5.606 5.606 5.606 90.00 90.00 90.00
Space group Pm-3m (No. 221)
Unique sites:
Te: 0.000 0.000 0.500 x3
S: 0.500 0.500 0.500 x1
Br: 0.000 0.000 0.000 x1

Most stable: #i

#i
The following is a DFT calculation (PBE-GGA) of an optimized crystal structure of TeS2Br.

Output
* V: 20.64 Å³/atom

Lattice parameters (Å, degrees): 6.912 6.912 6.912 90.00 90.00 90.00
Space group Fm-3m (No. 225)
Unique sites:
Te: 0.000 0.000 0.000 x4
S: 0.250 0.250 0.250 x8
Br: 0.000 0.000 0.500 x4

#ii
The following is a DFT calculation (PBE-GGA) of an optimized crystal structure of TeS2Br.

Output
* V: 26.99 Å³/atom

Lattice parameters (Å, degrees): 7.437 7.437 7.806 90.00 90.00 90.00
Space group I-42d (No. 122)
Unique sites:
Te: 0.000 0.000 0.000 x4
S: 0.206 0.250 0.125 x8
Br: 0.000 0.000 0.500 x4

#iii
The following is a DFT calculation (PBE-GGA) of an optimized crystal structure of TeS2Br.

Output
* V: 41.21 Å³/atom

Lattice parameters (Å, degrees): 5.254 5.714 12.165 85.38 77.58 67.57
Space group P-1 (No. 2)
Unique sites:
Te: 0.000 0.000 0.000 x1
Te: 0.500 0.500 0.000 x1
S: 0.069 0.363 0.567 x2
S: 0.136 0.863 0.433 x2
Br: 0.349 0.750 0.804 x2

Most stable: #iii